Ba2Mn3Se6O18: optimized geometry, GGA-PBEsol.

```
data_Ba2Mn3Se6O18
_chemical_formula_sum 'Ba4 Mn6 Se12 O36'
_symmetry_space_group_name_H-M 'P 1 21/c 1'
_symmetry_Int_Tables_number 14
_cell_length_a 5.459
_cell_length_b 9.065
_cell_length_c 17.531
_cell_angle_alpha 90.00
_cell_angle_beta 94.65
_cell_angle_gamma 90.00
loop_
_symmetry_equiv_pos_as_xyz
'x,y,z'
'-x,-y,-z'
'-x,y+1/2,-z+1/2'
'x,-y+1/2,z+1/2'
loop_
_atom_site_label
_atom_site_type_symbol
_atom_site_fract_x
_atom_site_fract_y
_atom_site_fract_z
Ba1 Ba 0.019 0.164 0.295
Mn1 Mn 0.000 0.000 0.500
Mn2 Mn 0.484 0.003 0.837
Se1 Se 0.010 0.140 0.065
Se2 Se 0.495 0.149 0.685
Se3 Se 0.499 0.200 0.456
O1 O 0.105 0.181 0.577
O2 O 0.148 0.612 0.356
O3 O 0.233 0.633 0.075
O4 O 0.260 0.601 0.753
O5 O 0.280 0.069 0.741
O6 O 0.281 0.037 0.081
O7 O 0.291 0.061 0.433
O8 O 0.392 0.184 0.880
O9 O 0.441 0.171 0.217
```

BaSrMn2O6: optimized geometry, GGA-PBEsol.

```
data_BaSrMn2O6
_chemical_formula_sum 'Ba2 Sr2 Mn4 O12'
_symmetry_space_group_name_H-M 'P 63/m m c'
_symmetry_Int_Tables_number 194
_symmetry_space_group_name_Hall '-P 6c 2c'
_cell_length_a 5.5429
_cell_length_b 5.5429
_cell_length_c 9.0752
_cell_angle_alpha 90.00
_cell_angle_beta 90.00
_cell_angle_gamma 120.00
loop_
_atom_site_label
_atom_site_type_symbol
_atom_site_fract_x
_atom_site_fract_y
_atom_site_fract_z
Ba1 Ba 0.0000 0.0000 0.0000
Sr1 Sr 0.3333 0.6667 0.2500
Mn1 Mn 0.3333 0.6667 0.6125
O1 O 0.0000 0.5000 0.0000
O2 O 0.1845 0.3691 0.7500
```

BaSr7Ti6Mn2O24: optimized geometry, GGA-PBEsol.

```
data_BaSr7Ti6Mn2O24
_chemical_formula_sum 'Ba2 Sr14 Ti12 Mn4 O48'
_symmetry_space_group_name_H-M 'A m m 2'
_symmetry_Int_Tables_number 38
_cell_length_a 7.770
_cell_length_b 10.974
_cell_length_c 10.982
_cell_angle_alpha 90.00
_cell_angle_beta 90.00
_cell_angle_gamma 90.00
loop_
_symmetry_equiv_pos_as_xyz
'x,y,z'
'-x,-y,z'
'-x,y,z'
'x,-y,z'
'x,y+1/2,z+1/2'
'-x,-y+1/2,z+1/2'
'-x,y+1/2,z+1/2'
'x,-y+1/2,z+1/2'
loop_
_atom_site_label
_atom_site_type_symbol
_atom_site_fract_x
_atom_site_fract_y
_atom_site_fract_z
Ba1 Ba 0.000 0.000 0.000
Sr1 Sr 0.000 0.000 0.506
Sr2 Sr 0.000 0.247 0.755
Sr3 Sr 0.500 0.000 0.001
Sr4 Sr 0.500 0.000 0.506
Sr5 Sr 0.500 0.247 0.755
Ti1 Ti 0.251 0.000 0.255
Ti2 Ti 0.251 0.247 0.506
Mn1 Mn 0.252 0.000 0.754
O1 O 0.000 0.000 0.253
O2 O 0.000 0.000 0.744
O3 O 0.000 0.248 0.501
O4 O 0.250 0.123 0.628
O5 O 0.250 0.125 0.377
O6 O 0.254 0.127 0.127
O7 O 0.255 0.123 0.871
O8 O 0.500 0.000 0.254
O9 O 0.500 0.000 0.744
O10 O 0.500 0.249 0.500
```

Ba3Sr5Ti7MnO24: optimized geometry, GGA-PBEsol.

```
data_Ba3Sr5Ti7MnO24
_chemical_formula_sum 'Ba6 Sr10 Ti14 Mn2 O48'
_symmetry_space_group_name_H-M 'C 1 m 1'
_symmetry_Int_Tables_number 8
_cell_length_a 11.081
_cell_length_b 11.074
_cell_length_c 7.859
_cell_angle_alpha 90.00
_cell_angle_beta 90.08
_cell_angle_gamma 90.00
loop_
_symmetry_equiv_pos_as_xyz
'x,y,z'
'x,-y,z'
'x+1/2,y+1/2,z'
'x+1/2,-y+1/2,z'
loop_
_atom_site_label
_atom_site_type_symbol
_atom_site_fract_x
_atom_site_fract_y
_atom_site_fract_z
Ba1 Ba 0.000 0.000 0.000
Ba2 Ba 0.247 0.248 0.001
Sr1 Sr 0.246 0.250 0.506
Sr2 Sr 0.495 0.000 0.005
Sr3 Sr 0.497 0.000 0.504
Sr4 Sr 0.497 0.500 0.507
Ti1 Ti 0.244 0.500 0.259
Ti2 Ti 0.245 0.500 0.753
Ti3 Ti 0.247 0.000 0.266
Ti4 Ti 0.494 0.247 0.752
Ti5 Ti 0.496 0.249 0.259
Mn1 Mn 0.247 0.000 0.751
O1 O 0.000 0.252 0.499
O2 O 0.123 0.376 0.253
O3 O 0.123 0.376 0.741
O4 O 0.126 0.125 0.257
O5 O 0.128 0.122 0.741
O6 O 0.246 0.500 0.996
O7 O 0.249 0.500 0.498
O8 O 0.251 0.000 0.503
O9 O 0.253 0.000 0.988
O10 O 0.374 0.122 0.743
O11 O 0.374 0.374 0.740
O12 O 0.375 0.374 0.255
O13 O 0.376 0.123 0.253
O14 O 0.499 0.246 0.996
```

Energy relative to the elements, uncorrected (eV per atom)
-1.364 -2.282 -2.964 -3.061
V (A^3/atom)
14.91 12.07 11.71 12.06
Final energy (eV/atom)
-6.5770 -7.7825 -8.2256 -8.3025